1.
Here is crystalline TbNdGe2Ir at its relaxed geometry from OQMD via LeMat-Bulk. Energies are from GGA-PBE.

Cell lengths 5.782, 5.782, 10.490 Å; angles 114.80, 114.80, 44.30 degrees
Element x y z (fractional)
Tb 0.010 0.010 0.332
Tb 0.990 0.990 0.668
Nd 0.192 0.192 0.118
Nd 0.808 0.808 0.882
Ge 0.352 0.352 0.448
Ge 0.483 0.483 0.118
Ge 0.517 0.517 0.882
Ge 0.648 0.648 0.552
Ir 0.270 0.270 0.661
Ir 0.730 0.730 0.339

Properties
Space group: C2/m, No. 12
Total magnetization in μB/f.u.: 0.00
Uncorrected energy in eV per atom: -6.379


2.
Here is crystalline Sc4PbAuC2 at its relaxed geometry from OQMD via LeMat-Bulk. Energies are from GGA-PBE.

Cell lengths 3.411, 3.411, 14.247 Å; angles 90.00, 90.00, 120.00 degrees
Element x y z (fractional)
Sc 0.000 0.000 0.151
Sc 0.000 0.000 0.849
Sc 0.333 0.667 0.319
Sc 0.333 0.667 0.681
Pb 0.000 0.000 0.500
Au 0.333 0.667 0.000
C 0.667 0.333 0.236
C 0.667 0.333 0.764

Properties
Space group: P-6m2, No. 187
Total magnetization in μB/f.u.: 0.45
Uncorrected energy in eV per atom: -6.951


What did the first record say?
Here is crystalline TbNdGe2Ir at its relaxed geometry from OQMD via LeMat-Bulk. Energies are from GGA-PBE.

Cell lengths 5.782, 5.782, 10.490 Å; angles 114.80, 114.80, 44.30 degrees
Element x y z (fractional)
Tb 0.010 0.010 0.332
Tb 0.990 0.990 0.668
Nd 0.192 0.192 0.118
Nd 0.808 0.808 0.882
Ge 0.352 0.352 0.448
Ge 0.483 0.483 0.118
Ge 0.517 0.517 0.882
Ge 0.648 0.648 0.552
Ir 0.270 0.270 0.661
Ir 0.730 0.730 0.339

Properties
Space group: C2/m, No. 12
Total magnetization in μB/f.u.: 0.00
Uncorrected energy in eV per atom: -6.379